First-principles (PBE+U) data for an optimized crystal structure of RbAc4Mn3O12, as listed in Alexandria.

abc: 7.621 7.621 7.621
angles: 109.47 109.47 109.47
Site moments in Bohr magnetons follow the coordinates.
Atoms (fractional coordinates):
O 0.850 0.190 0.340  -0.15
O 0.660 0.850 0.510  -0.15
O 0.150 0.810 0.660  -0.15
O 0.190 0.340 0.850  -0.15
O 0.660 0.150 0.810  -0.15
O 0.850 0.510 0.660  -0.15
O 0.340 0.150 0.490  -0.15
O 0.810 0.660 0.150  -0.15
O 0.490 0.340 0.150  -0.15
O 0.510 0.660 0.850  -0.15
O 0.150 0.490 0.340  -0.15
O 0.340 0.850 0.190  -0.15
Rb 0.000 0.000 0.000  0.01
Ac 0.500 0.000 0.000  -0.01
Ac 0.500 0.500 0.500  -0.01
Ac 0.000 0.000 0.500  -0.01
Ac 0.000 0.500 0.000  -0.01
Mn 0.500 0.500 0.000  3.83
Mn 0.500 0.000 0.500  3.83
Mn 0.000 0.500 0.500  3.83

Properties
**Magnetic moment**: 0.49 μB/atom
**DOS at the Fermi energy**: 0.834 states/eV per atom
**DFT total energy**: -7.230 eV per atom